# ZnGa8, relaxed, DFT GGA-PBE
# **ΔE_f**: 0.0397 eV per atom
# **M_tot**: 0.0 μB/f.u.
# **D(E_F)**: 3.48 states/eV/f.u.
# **Polymorph energy (0 for the lowest one)**: 0 meV/atom
# **Space group**: I4/mmm (139)
data_ZnGa8
_chemical_formula_sum 'Zn1 Ga8'
_cell_length_a 6.3600
_cell_length_b 6.3600
_cell_length_c 6.3600
_cell_angle_alpha 98.14
_cell_angle_beta 98.14
_cell_angle_gamma 135.80
_symmetry_space_group_name_H-M 'P 1'
_symmetry_Int_Tables_number 1
loop_
_symmetry_equiv_pos_as_xyz
'x,y,z'
loop_
_atom_site_label
_atom_site_fract_x
_atom_site_fract_y
_atom_site_fract_z
Zn1 0.0000 0.0000 0.0000
Ga1 0.0000 0.3328 0.3328
Ga2 0.0000 0.6672 0.6672
Ga3 0.3328 0.0000 0.3328
Ga4 0.3342 0.3342 0.6685
Ga5 0.3342 0.6658 0.0000
Ga6 0.6658 0.3342 0.0000
Ga7 0.6658 0.6658 0.3315
Ga8 0.6672 0.0000 0.6672

# RbHg2HPt, relaxed, DFT GGA-PBE
# **M_tot**: 0.0 μB/f.u.
# **Energy**: -2.282 eV/atom
# **D(E_F)**: 1.25 states/eV/f.u.
# **Space group**: P4/mmm (123)
data_RbHg2HPt
_chemical_formula_sum 'Rb1 Hg2 H1 Pt1'
_cell_length_a 5.4856
_cell_length_b 5.4856
_cell_length_c 3.9016
_cell_angle_alpha 90.00
_cell_angle_beta 90.00
_cell_angle_gamma 90.00
_symmetry_space_group_name_H-M 'P 1'
_symmetry_Int_Tables_number 1
loop_
_symmetry_equiv_pos_as_xyz
'x,y,z'
loop_
_atom_site_label
_atom_site_fract_x
_atom_site_fract_y
_atom_site_fract_z
Rb1 0.0000 0.0000 0.0000
Hg1 0.0000 0.5000 0.5000
Hg2 0.5000 0.0000 0.5000
H1 0.5000 0.5000 0.0000
Pt1 0.5000 0.5000 0.5000

# RbReAg2I8, relaxed, DFT GGA-PBE
# **M_tot**: 2.5 μB/f.u.
# **D(E_F)**: 5.62 states/eV/f.u.
# **Formation energy from raw total energies**: -0.2750 eV per atom
# **Space group**: P-1 (2)
data_RbReAg2I8
_chemical_formula_sum 'Rb1 Re1 Ag2 I8'
_cell_length_a 7.2481
_cell_length_b 7.5276
_cell_length_c 9.6475
_cell_angle_alpha 73.56
_cell_angle_beta 82.66
_cell_angle_gamma 86.43
_symmetry_space_group_name_H-M 'P 1'
_symmetry_Int_Tables_number 1
loop_
_symmetry_equiv_pos_as_xyz
'x,y,z'
loop_
_atom_site_label
_atom_site_fract_x
_atom_site_fract_y
_atom_site_fract_z
Rb1 0.0000 0.0000 0.0000
Re1 0.0000 0.5000 0.5000
Ag1 0.4602 0.5372 0.7960
Ag2 0.5398 0.4628 0.2040
I1 0.0656 0.5174 0.7720
I2 0.1647 0.8292 0.3796
I3 0.3327 0.3120 0.4731
I4 0.4985 0.7804 0.9713
I5 0.5015 0.2196 0.0287
I6 0.6673 0.6880 0.5269
I7 0.8353 0.1708 0.6204
I8 0.9344 0.4826 0.2280

# AlCd2Re, relaxed, DFT GGA-PBE
# **ΔE_f**: 0.5003 eV per atom
# **M_tot**: 0.0 μB/f.u.
# **D(E_F)**: 2.87 states/eV/f.u.
# **Space group**: Pmmm (47)
data_AlCd2Re
_chemical_formula_sum 'Al1 Cd2 Re1'
_cell_length_a 2.8356
_cell_length_b 4.5687
_cell_length_c 5.5220
_cell_angle_alpha 90.00
_cell_angle_beta 90.00
_cell_angle_gamma 90.00
_symmetry_space_group_name_H-M 'P 1'
_symmetry_Int_Tables_number 1
loop_
_symmetry_equiv_pos_as_xyz
'x,y,z'
loop_
_atom_site_label
_atom_site_fract_x
_atom_site_fract_y
_atom_site_fract_z
Al1 0.0000 0.0000 0.0000
Cd1 0.5000 0.5000 0.2544
Cd2 0.5000 0.5000 0.7456
Re1 0.0000 0.0000 0.5000

# LaTa2P, relaxed, DFT GGA-PBE
# **ΔE_f**: -0.3107 eV per atom
# **M_tot**: 0.0 μB/f.u.
# **D(E_F)**: 3.14 states/eV/f.u.
# **Space group**: Pm (6)
data_LaTa2P
_chemical_formula_sum 'La1 Ta2 P1'
_cell_length_a 3.5377
_cell_length_b 4.2035
_cell_length_c 6.3257
_cell_angle_alpha 90.00
_cell_angle_beta 106.05
_cell_angle_gamma 90.00
_symmetry_space_group_name_H-M 'P 1'
_symmetry_Int_Tables_number 1
loop_
_symmetry_equiv_pos_as_xyz
'x,y,z'
loop_
_atom_site_label
_atom_site_fract_x
_atom_site_fract_y
_atom_site_fract_z
La1 0.0000 0.0000 0.0000
Ta1 0.2549 0.5000 0.5155
Ta2 0.7302 0.0000 0.4660
P1 0.6040 0.5000 0.2100

# Sm3Y6Sc, relaxed, DFT GGA-PBE
# **ΔE_f**: 0.1420 eV per atom
# **M_tot**: 0.0 μB/f.u.
# **D(E_F)**: 14.97 states/eV/f.u.
# **Polymorph energy (0 for the lowest one)**: 0 meV/atom
# **Space group**: Cmc2_1 (36)
data_Sm3Y6Sc
_chemical_formula_sum 'Sm6 Y12 Sc2'
_cell_length_a 10.9016
_cell_length_b 10.9016
_cell_length_c 6.3074
_cell_angle_alpha 90.00
_cell_angle_beta 90.00
_cell_angle_gamma 120.11
_symmetry_space_group_name_H-M 'P 1'
_symmetry_Int_Tables_number 1
loop_
_symmetry_equiv_pos_as_xyz
'x,y,z'
loop_
_atom_site_label
_atom_site_fract_x
_atom_site_fract_y
_atom_site_fract_z
Sm1 0.1130 0.8870 0.5000
Sm2 0.2180 0.4452 0.8818
Sm3 0.4452 0.2180 0.3818
Sm4 0.5548 0.7820 0.8818
Sm5 0.7820 0.5548 0.3818
Sm6 0.8870 0.1130 0.0000
Y1 0.0354 0.4520 0.2955
Y2 0.1210 0.2098 0.4792
Y3 0.2098 0.1210 0.9792
Y4 0.2243 0.7757 0.0771
Y5 0.4520 0.0354 0.7955
Y6 0.4529 0.5471 0.3305
Y7 0.5471 0.4529 0.8305
Y8 0.5480 0.9646 0.2955
Y9 0.7757 0.2243 0.5771
Y10 0.7902 0.8790 0.4792
Y11 0.8790 0.7902 0.9792
Y12 0.9646 0.5480 0.7955
Sc1 0.2970 0.7030 0.5641
Sc2 0.7030 0.2970 0.0641

# Pm3ErRh4, relaxed, DFT GGA-PBE
# **ΔE_f**: -0.7396 eV per atom
# **M_tot**: 0.0 μB/f.u.
# **D(E_F)**: 6.02 states/eV/f.u.
# **Space group**: I4/mmm (139)
data_Pm3ErRh4
_chemical_formula_sum 'Pm3 Er1 Rh4'
_cell_length_a 7.8321
_cell_length_b 7.8321
_cell_length_c 7.8321
_cell_angle_alpha 143.40
_cell_angle_beta 143.40
_cell_angle_gamma 52.73
_symmetry_space_group_name_H-M 'P 1'
_symmetry_Int_Tables_number 1
loop_
_symmetry_equiv_pos_as_xyz
'x,y,z'
loop_
_atom_site_label
_atom_site_fract_x
_atom_site_fract_y
_atom_site_fract_z
Pm1 0.0000 0.0000 0.0000
Pm2 0.2508 0.2508 0.0000
Pm3 0.7492 0.7492 0.0000
Er1 0.5000 0.5000 0.0000
Rh1 0.1217 0.6217 0.5000
Rh2 0.3783 0.8783 0.5000
Rh3 0.6217 0.1217 0.5000
Rh4 0.8783 0.3783 0.5000

# BeSbMo, relaxed, DFT GGA-PBE
# **M_tot**: 0.0 μB/f.u.
# **D(E_F)**: 2.29 states/eV/f.u.
# **Polymorph energy (0 for the lowest one)**: 275 meV/atom
# **Formation energy from raw total energies**: 0.4384 eV per atom
# **Space group**: P-6m2 (187)
data_BeSbMo
_chemical_formula_sum 'Be1 Sb1 Mo1'
_cell_length_a 4.0820
_cell_length_b 4.0820
_cell_length_c 3.3385
_cell_angle_alpha 90.00
_cell_angle_beta 90.00
_cell_angle_gamma 120.00
_symmetry_space_group_name_H-M 'P 1'
_symmetry_Int_Tables_number 1
loop_
_symmetry_equiv_pos_as_xyz
'x,y,z'
loop_
_atom_site_label
_atom_site_fract_x
_atom_site_fract_y
_atom_site_fract_z
Be1 0.0000 0.0000 0.0000
Sb1 0.6667 0.3333 0.5000
Mo1 0.3333 0.6667 0.0000